#a
# Na3CaB SCAN single point on PBEsol structure
# Density of states at the Fermi level: 4.6 states/eV/f.u.
data_Na3CaB
_cell_length_a 6.222
_cell_length_b 6.222
_cell_length_c 6.222
_cell_angle_alpha 90.00
_cell_angle_beta 90.00
_cell_angle_gamma 90.00
_symmetry_space_group_name_H-M 'P m -3 m'
_symmetry_Int_Tables_number 221
_symmetry_space_group_name_Hall '-P 4 2 3'
loop_
_atom_site_label
_atom_site_fract_x
_atom_site_fract_y
_atom_site_fract_z
Na1 0.000 0.000 0.500
Ca1 0.000 0.000 0.000
B1 0.500 0.500 0.500

***

#b
# Na3CaB SCAN single point on PBEsol structure
# Density of states at the Fermi level: 2.6 states/eV/f.u.
data_Na3CaB
_cell_length_a 5.217
_cell_length_b 5.217
_cell_length_c 5.217
_cell_angle_alpha 90.00
_cell_angle_beta 90.00
_cell_angle_gamma 90.00
_symmetry_space_group_name_H-M 'P m -3 m'
_symmetry_Int_Tables_number 221
_symmetry_space_group_name_Hall '-P 4 2 3'
loop_
_atom_site_label
_atom_site_fract_x
_atom_site_fract_y
_atom_site_fract_z
Na1 0.000 0.000 0.500
Ca1 0.500 0.500 0.500
B1 0.000 0.000 0.000

***

Of them, #b has the highest stability.

***

#a
# LaY2Sc SCAN single point on PBEsol structure
# Density of states at the Fermi level: 5.1 states/eV/f.u.
data_LaY2Sc
_cell_length_a 11.587
_cell_length_b 3.483
_cell_length_c 5.939
_cell_angle_alpha 90.00
_cell_angle_beta 100.19
_cell_angle_gamma 90.00
_symmetry_space_group_name_H-M 'C 1 2/m 1'
_symmetry_Int_Tables_number 12
loop_
_symmetry_equiv_pos_as_xyz
'x,y,z'
'-x,-y,-z'
'-x,y,-z'
'x,-y,z'
'x+1/2,y+1/2,z'
'-x+1/2,-y+1/2,-z'
'-x+1/2,y+1/2,-z'
'x+1/2,-y+1/2,z'
loop_
_atom_site_label
_atom_site_fract_x
_atom_site_fract_y
_atom_site_fract_z
La1 0.000 0.000 0.000
Y1 0.246 0.000 0.747
Sc1 0.000 0.500 0.500

***

#b
# LaY2Sc SCAN single point on PBEsol structure
# Density of states at the Fermi level: 6.3 states/eV/f.u.
data_LaY2Sc
_cell_length_a 4.976
_cell_length_b 4.976
_cell_length_c 9.581
_cell_angle_alpha 90.00
_cell_angle_beta 90.00
_cell_angle_gamma 90.00
_symmetry_space_group_name_H-M 'I -4 m 2'
_symmetry_Int_Tables_number 119
_symmetry_space_group_name_Hall 'I -4 -2'
loop_
_atom_site_label
_atom_site_fract_x
_atom_site_fract_y
_atom_site_fract_z
La1 0.000 0.000 0.000
Y1 0.000 0.000 0.500
Y2 0.000 0.500 0.750
Sc1 0.000 0.500 0.250

***

Of them, #a has the highest stability.

***

#a
# ZrHgSe2 SCAN single point on PBEsol structure
# Density of states at the Fermi level: 2.4 states/eV/f.u.
data_ZrHgSe2
_cell_length_a 3.961
_cell_length_b 3.961
_cell_length_c 10.264
_cell_angle_alpha 90.00
_cell_angle_beta 90.00
_cell_angle_gamma 90.00
_symmetry_space_group_name_H-M 'I -4 m 2'
_symmetry_Int_Tables_number 119
_symmetry_space_group_name_Hall 'I -4 -2'
loop_
_atom_site_label
_atom_site_fract_x
_atom_site_fract_y
_atom_site_fract_z
Zr1 0.000 0.000 0.000
Hg1 0.000 0.500 0.250
Se1 0.000 0.000 0.500
Se2 0.000 0.500 0.750

***

#b
# ZrHgSe2 SCAN single point on PBEsol structure
# Density of states at the Fermi level: 0.5 states/eV/f.u.
data_ZrHgSe2
_cell_length_a 4.156
_cell_length_b 3.737
_cell_length_c 11.235
_cell_angle_alpha 90.00
_cell_angle_beta 90.00
_cell_angle_gamma 90.00
_symmetry_space_group_name_H-M 'A m m 2'
_symmetry_Int_Tables_number 38
loop_
_symmetry_equiv_pos_as_xyz
'x,y,z'
'-x,-y,z'
'-x,y,z'
'x,-y,z'
'x,y+1/2,z+1/2'
'-x,-y+1/2,z+1/2'
'-x,y+1/2,z+1/2'
'x,-y+1/2,z+1/2'
loop_
_atom_site_label
_atom_site_fract_x
_atom_site_fract_y
_atom_site_fract_z
Zr1 0.000 0.000 0.000
Hg1 0.500 0.000 0.180
Se1 0.000 0.000 0.678
Se2 0.500 0.000 0.420

***

Of them, #b has the highest stability.

***

#a
# CdAg2Hg SCAN single point on PBEsol structure
# Density of states at the Fermi level: 1.2 states/eV/f.u.
data_CdAg2Hg
_cell_length_a 4.587
_cell_length_b 4.587
_cell_length_c 3.483
_cell_angle_alpha 90.00
_cell_angle_beta 90.00
_cell_angle_gamma 90.00
_symmetry_space_group_name_H-M 'P 4/m m m'
_symmetry_Int_Tables_number 123
_symmetry_space_group_name_Hall '-P 4 2'
loop_
_atom_site_label
_atom_site_fract_x
_atom_site_fract_y
_atom_site_fract_z
Cd1 0.000 0.000 0.000
Ag1 0.000 0.500 0.500
Hg1 0.500 0.500 0.000

***

#b
# CdAg2Hg SCAN single point on PBEsol structure
# Density of states at the Fermi level: 1.0 states/eV/f.u.
data_CdAg2Hg
_cell_length_a 2.979
_cell_length_b 4.747
_cell_length_c 5.183
_cell_angle_alpha 90.00
_cell_angle_beta 90.00
_cell_angle_gamma 90.00
_symmetry_space_group_name_H-M 'P m m 2'
_symmetry_Int_Tables_number 25
loop_
_symmetry_equiv_pos_as_xyz
'x,y,z'
'-x,-y,z'
'-x,y,z'
'x,-y,z'
loop_
_atom_site_label
_atom_site_fract_x
_atom_site_fract_y
_atom_site_fract_z
Cd1 0.000 0.000 0.000
Ag1 0.500 0.000 0.513
Ag2 0.500 0.500 0.842
Hg1 0.000 0.500 0.347

***

Of them, #b has the highest stability.

***

#a
# Cd2AgRh SCAN single point on PBEsol structure
# Density of states at the Fermi level: 1.4 states/eV/f.u.
data_Cd2AgRh
_cell_length_a 10.167
_cell_length_b 3.036
_cell_length_c 4.731
_cell_angle_alpha 90.00
_cell_angle_beta 111.89
_cell_angle_gamma 90.00
_symmetry_space_group_name_H-M 'C 1 m 1'
_symmetry_Int_Tables_number 8
loop_
_symmetry_equiv_pos_as_xyz
'x,y,z'
'x,-y,z'
'x+1/2,y+1/2,z'
'x+1/2,-y+1/2,z'
loop_
_atom_site_label
_atom_site_fract_x
_atom_site_fract_y
_atom_site_fract_z
Cd1 0.000 0.000 0.000
Cd2 0.236 0.000 0.623
Ag1 0.483 0.000 0.485
Rh1 0.243 0.500 0.121

***

#b
# Cd2AgRh SCAN single point on PBEsol structure
# Density of states at the Fermi level: 1.6 states/eV/f.u.
data_Cd2AgRh
_cell_length_a 2.951
_cell_length_b 4.033
_cell_length_c 5.707
_cell_angle_alpha 90.00
_cell_angle_beta 90.00
_cell_angle_gamma 90.00
_symmetry_space_group_name_H-M 'P m m 2'
_symmetry_Int_Tables_number 25
loop_
_symmetry_equiv_pos_as_xyz
'x,y,z'
'-x,-y,z'
'-x,y,z'
'x,-y,z'
loop_
_atom_site_label
_atom_site_fract_x
_atom_site_fract_y
_atom_site_fract_z
Cd1 0.000 0.000 0.000
Cd2 0.500 0.500 0.288
Ag1 0.500 0.500 0.762
Rh1 0.000 0.000 0.505

***

Of them, #a has the highest stability.

***

#a
# CdAg2Sb SCAN single point on PBEsol structure
# Density of states at the Fermi level: 1.4 states/eV/f.u.
data_CdAg2Sb
_cell_length_a 3.1736
_cell_length_b 3.1736
_cell_length_c 27.4231
_cell_angle_alpha 90.00
_cell_angle_beta 90.00
_cell_angle_gamma 120.00
_symmetry_space_group_name_H-M 'R -3 m'
_symmetry_Int_Tables_number 166
_symmetry_space_group_name_Hall '-R 3 2"'
loop_
_atom_site_label
_atom_site_fract_x
_atom_site_fract_y
_atom_site_fract_z
Cd1 0.0000 0.0000 0.0000
Ag1 0.0000 0.0000 0.2527
Sb1 0.0000 0.0000 0.5000

***

#b
# CdAg2Sb SCAN single point on PBEsol structure
# Density of states at the Fermi level: 1.3 states/eV/f.u.
data_CdAg2Sb
_cell_length_a 9.208
_cell_length_b 3.120
_cell_length_c 5.693
_cell_angle_alpha 90.00
_cell_angle_beta 100.58
_cell_angle_gamma 90.00
_symmetry_space_group_name_H-M 'C 1 2/m 1'
_symmetry_Int_Tables_number 12
loop_
_symmetry_equiv_pos_as_xyz
'x,y,z'
'-x,-y,-z'
'-x,y,-z'
'x,-y,z'
'x+1/2,y+1/2,z'
'-x+1/2,-y+1/2,-z'
'-x+1/2,y+1/2,-z'
'x+1/2,-y+1/2,z'
loop_
_atom_site_label
_atom_site_fract_x
_atom_site_fract_y
_atom_site_fract_z
Cd1 0.000 0.000 0.000
Ag1 0.246 0.500 0.227
Sb1 0.000 0.500 0.500

***

Of them, #b has the highest stability.

***

#a
# LaBe SCAN single point on PBEsol structure
# Density of states at the Fermi level: 1.3 states/eV/f.u.
data_LaBe
_cell_length_a 5.1885
_cell_length_b 5.1885
_cell_length_c 7.4967
_cell_angle_alpha 90.00
_cell_angle_beta 90.00
_cell_angle_gamma 120.00
_symmetry_space_group_name_H-M 'P 63/m m c'
_symmetry_Int_Tables_number 194
_symmetry_space_group_name_Hall '-P 6c 2c'
loop_
_atom_site_label
_atom_site_fract_x
_atom_site_fract_y
_atom_site_fract_z
La1 0.0000 0.0000 0.2500
La2 0.3333 0.6667 0.2500
Be1 0.3333 0.6667 0.6170

***

#b
# LaBe SCAN single point on PBEsol structure
# Density of states at the Fermi level: 2.1 states/eV/f.u.
data_LaBe
_cell_length_a 5.989
_cell_length_b 5.989
_cell_length_c 5.989
_cell_angle_alpha 90.00
_cell_angle_beta 90.00
_cell_angle_gamma 90.00
_symmetry_space_group_name_H-M 'F m -3 m'
_symmetry_Int_Tables_number 225
_symmetry_space_group_name_Hall '-F 4 2 3'
loop_
_atom_site_label
_atom_site_fract_x
_atom_site_fract_y
_atom_site_fract_z
La1 0.000 0.000 0.000
Be1 0.000 0.000 0.500

***

Of them, #a has the highest stability.